The following is a GGA-PBEsol calculation of a geometry-optimized RbLiPdAu2 structure, from Alexandria via LeMat-Bulk.

Output
As for the symmetry: P4/mmm.

a b c (Å): 4.5518 5.4645 5.4645
angles (deg): 90.00 90.00 90.00
Closest atoms and distances in Å follow each position.
Atoms (fractional coordinates):
1 Au 0.0000 0.0000 0.5000  2 Rb 2.73
2 Au 0.0000 0.5000 0.0000  2 Rb 2.73
3 Rb 0.0000 0.0000 0.0000  2 Li 2.28
4 Pd 0.5000 0.5000 0.5000  8 Au 3.56, 4 Li 3.86
5 Li 0.5000 0.0000 0.0000  2 Rb 2.28

The following is a GGA-PBEsol calculation of a geometry-optimized LiPrAu2 structure, from Alexandria via LeMat-Bulk.

Output
As for the symmetry: Fm-3m.

a b c (Å): 4.9336 4.9336 4.9336
angles (deg): 60.00 60.00 60.00
Closest atoms and distances in Å follow each position.
Atoms (fractional coordinates):
1 Pr 0.5000 0.5000 0.5000  8 Au 3.02
2 Au 0.2500 0.2500 0.2500  4 Pr 3.02, 4 Li 3.02
3 Au 0.7500 0.7500 0.7500  4 Li 3.02, 4 Pr 3.02
4 Li 0.0000 0.0000 0.0000  8 Au 3.02

The following is a GGA-PBEsol calculation of a geometry-optimized LiPtAu2 structure, from Alexandria via LeMat-Bulk.

Output
As for the symmetry: Pmm2.

a b c (Å): 3.0205 4.5325 4.5320
angles (deg): 90.00 90.00 90.00
Closest atoms and distances in Å follow each position.
Atoms (fractional coordinates):
1 Au 0.0000 0.0000 0.1227  4 Li 2.72-2.73, 4 Pt 2.72, 2 Au 3.02
2 Au 0.0000 0.5000 0.6281  4 Pt 2.72, 4 Li 2.72, 2 Au 3.02
3 Pt 0.5000 0.5000 0.1279  8 Au 2.72, 2 Pt 3.02
4 Li 0.5000 0.0000 0.6213  8 Au 2.72-2.73, 2 Li 3.02

| no. | energy relative to the elements (meV/atom) |
| --- | --- |
| 1 | 1343 |
| 2 | -605 |
| 3 | -333 |